HfFe3S PBE-GGA optimized geometry; energy above the lowest structure with this stoichiometry = 1680 meV/atom; formation energy from raw total energies = 1.654 eV per atom
1.0
4.6303 0.0000 0.0000
0.0000 4.6303 0.0000
0.0000 0.0000 4.6303
Hf Fe S
1 3 1
Cartesian
0.0000 0.0000 0.0000 Hf
0.0000 0.0000 2.3152 Fe
0.0000 2.3152 0.0000 Fe
2.3152 0.0000 0.0000 Fe
2.3152 2.3152 2.3152 S

=====

BeOs2Ru PBE-GGA optimized geometry; energy relative to the elements = 0.10 eV/atom
1.0
2.7067 0.0000 0.0000
0.0000 3.8968 0.0000
-1.1870 0.0000 4.9497
Be Os Ru
1 2 1
Cartesian
0.0000 0.0000 0.0000 Be
0.7404 1.9484 1.1344 Os
0.7792 1.9484 3.8153 Os
-0.5935 0.0000 2.4748 Ru

=====

TaNbH2 PBE-GGA optimized geometry; energy above the lowest structure with this stoichiometry = 0 meV/atom
1.0
-2.4472 2.4472 3.4760
2.4472 -2.4472 3.4760
2.4472 2.4472 -3.4760
Ta Nb H
2 2 4
Cartesian
0.0000 0.0000 0.0000 Ta
0.0000 2.4472 1.7380 Ta
2.4472 0.0000 1.7380 Nb
0.0000 0.0000 3.4760 Nb
3.6708 1.2087 -0.8690 H
1.2087 1.2236 0.8690 H
-1.2236 1.2385 2.6070 H
1.2385 1.2236 4.3450 H

=====

| no. | spin magnetization (μB/f.u.) | D(E_F) (states/eV per atom) |
| --- | --- | --- |
| 1 | 6.21 | 0.587 |
| 2 | 0.00 | 0.663 |
| 3 | 0.00 | 0.257 |